Entry 1:
A plane-wave DFT calculation with PBE was carried out for a relaxed structure of NaNd2Bi.

Values from the calculation:
Space-group type ... No. 123
DOS at the Fermi energy ... 3.48 states/eV per cell
Formation energy from the elements ... -0.346 eV per atom
Crystal system ... tetragonal

Cell and atoms, written as POSCAR:
```
NaNd2Bi
1.0
5.190 0.000 0.000
0.000 5.190 0.000
0.000 0.000 4.569
Na Nd Bi
1 2 1
Direct
0.000 0.000 0.000
0.000 0.500 0.500
0.500 0.000 0.500
0.500 0.500 0.000
```


Entry 2:
A plane-wave DFT calculation with PBE was carried out for a relaxed structure of NaNdBi3.

Values from the calculation:
Space-group type ... No. 57
DOS at the Fermi energy ... 7.93 states/eV per cell
Formation energy from the elements ... -0.339 eV per atom
Crystal system ... orthorhombic

Cell and atoms, written as POSCAR:
```
NaNdBi3
1.0
10.612 0.000 0.000
0.000 6.190 0.000
0.000 0.000 10.792
Na Nd Bi
4 4 12
Direct
0.120 0.250 0.000
0.120 0.250 0.500
0.880 0.750 0.000
0.880 0.750 0.500
0.375 0.000 0.250
0.375 0.500 0.750
0.625 0.000 0.750
0.625 0.500 0.250
0.079 0.634 0.750
0.079 0.866 0.250
0.295 0.003 0.750
0.295 0.497 0.250
0.473 0.250 0.000
0.473 0.250 0.500
0.527 0.750 0.000
0.527 0.750 0.500
0.705 0.503 0.750
0.705 0.997 0.250
0.921 0.134 0.750
0.921 0.366 0.250
```


Entry 3:
A plane-wave DFT calculation with PBE was carried out for a relaxed structure of NaNd2BiO6.

Values from the calculation:
Space-group type ... No. 146
DOS at the Fermi energy ... 0.00 states/eV per cell
Crystal system ... trigonal
ΔE_f (raw) ... -2242 meV/atom

Cell and atoms, written as POSCAR:
```
NaNd2BiO6
1.0
2.974 1.717 5.145
-2.974 1.717 5.145
0.000 -3.434 5.145
Na Nd Bi O
1 2 1 6
Direct
0.000 0.000 0.000
0.273 0.273 0.273
0.775 0.775 0.775
0.486 0.486 0.486
0.120 0.669 0.390
0.218 0.595 0.845
0.390 0.120 0.669
0.595 0.845 0.218
0.669 0.390 0.120
0.845 0.218 0.595
```


Entry 4:
A plane-wave DFT calculation with PBE was carried out for a relaxed structure of Na4Nd3BiO8.

Values from the calculation:
Space-group type ... No. 166
DOS at the Fermi energy ... 0.00 states/eV per cell
Crystal system ... trigonal
ΔE_f (raw) ... -2297 meV/atom

Cell and atoms, written as POSCAR:
```
Na4Nd3BiO8
1.0
3.577 2.065 5.662
-3.577 2.065 5.662
0.000 -4.130 5.662
Na Nd Bi O
4 3 1 8
Direct
0.000 0.000 0.000
0.000 0.500 0.500
0.500 0.000 0.500
0.500 0.500 0.000
0.000 0.000 0.500
0.000 0.500 0.000
0.500 0.000 0.000
0.500 0.500 0.500
0.238 0.238 0.238
0.238 0.742 0.742
0.258 0.258 0.762
0.258 0.762 0.258
0.742 0.238 0.742
0.742 0.742 0.238
0.762 0.258 0.258
0.762 0.762 0.762
```


Entry 5:
A plane-wave DFT calculation with PBE was carried out for a relaxed structure of Na3Nd2BiO6.

Values from the calculation:
Space-group type ... No. 12
DOS at the Fermi energy ... 0.00 states/eV per cell
Crystal system ... monoclinic
ΔE_f (raw) ... -2194 meV/atom

Cell and atoms, written as POSCAR:
```
Na3Nd2BiO6
1.0
3.094 -5.357 0.000
3.094 5.357 0.000
-2.059 0.000 5.666
Na Nd Bi O
3 2 1 6
Direct
0.000 0.000 0.000
0.338 0.662 0.000
0.662 0.338 0.000
0.167 0.833 0.500
0.833 0.167 0.500
0.500 0.500 0.500
0.090 0.426 0.279
0.237 0.237 0.722
0.426 0.090 0.279
0.574 0.910 0.721
0.763 0.763 0.278
0.910 0.574 0.721
```


Entry 6:
A plane-wave DFT calculation with PBE was carried out for a relaxed structure of Na2Nd4Bi3O2.

Values from the calculation:
Space-group type ... No. 139
DOS at the Fermi energy ... 2.24 states/eV per cell
Crystal system ... tetragonal
ΔE_f (raw) ... -1393 meV/atom

Cell and atoms, written as POSCAR:
```
Na2Nd4Bi3O2
1.0
-2.458 2.458 13.072
2.458 -2.458 13.072
2.458 2.458 -13.072
Na Nd Bi O
2 4 3 2
Direct
0.201 0.201 0.000
0.799 0.799 0.000
0.089 0.589 0.500
0.411 0.911 0.500
0.589 0.089 0.500
0.911 0.411 0.500
0.326 0.326 0.000
0.500 0.500 0.000
0.674 0.674 0.000
0.092 0.092 0.000
0.908 0.908 0.000
```


Entry 7:
A plane-wave DFT calculation with PBE was carried out for a relaxed structure of NaNd2PaBi4.

Values from the calculation:
Space-group type ... No. 10
DOS at the Fermi energy ... 3.83 states/eV per cell
Formation energy from the elements ... -0.516 eV per atom
Crystal system ... monoclinic

Cell and atoms, written as POSCAR:
```
NaNd2PaBi4
1.0
7.860 0.000 0.000
0.000 4.580 0.000
-2.549 0.000 7.495
Na Nd Pa Bi
1 2 1 4
Direct
0.000 0.000 0.000
0.000 0.500 0.500
0.500 0.000 0.500
0.500 0.500 0.000
0.258 0.000 0.762
0.259 0.500 0.242
0.741 0.500 0.758
0.742 0.000 0.238
```


Entry 8:
A plane-wave DFT calculation with PBE was carried out for a relaxed structure of Na2NdBi2Pb.

Values from the calculation:
Space-group type ... No. 26
DOS at the Fermi energy ... 4.64 states/eV per cell
Formation energy from the elements ... -0.404 eV per atom
Crystal system ... orthorhombic

Cell and atoms, written as POSCAR:
```
Na2NdBi2Pb
1.0
4.596 0.000 0.000
0.000 10.200 0.000
0.000 0.000 8.319
Na Nd Bi Pb
4 2 4 2
Direct
0.000 0.063 0.000
0.000 0.937 0.500
0.500 0.197 0.266
0.500 0.803 0.766
0.500 0.418 0.841
0.500 0.582 0.341
0.000 0.419 0.136
0.000 0.581 0.636
0.500 0.119 0.731
0.500 0.881 0.231
0.000 0.278 0.533
0.000 0.722 0.033
```


Entry 9:
A plane-wave DFT calculation with PBE was carried out for a relaxed structure of NaNdBi2S4.

Values from the calculation:
Space-group type ... No. 10
Crystal system ... monoclinic
ΔE_f (raw) ... -890 meV/atom

Cell and atoms, written as POSCAR:
```
NaNdBi2S4
1.0
7.513 0.000 0.000
0.000 4.007 0.000
-2.501 0.000 7.255
Na Nd Bi S
1 1 2 4
Direct
0.000 0.000 0.000
0.500 0.500 0.500
0.000 0.000 0.500
0.500 0.500 0.000
0.109 0.500 0.294
0.390 0.000 0.717
0.610 0.000 0.283
0.891 0.500 0.706
```


Entry 10:
A plane-wave DFT calculation with PBE was carried out for a relaxed structure of Na4Nd3BiS8.

Values from the calculation:
Space-group type ... No. 166
DOS at the Fermi energy ... 0.00 states/eV per cell
Crystal system ... trigonal
ΔE_f (raw) ... -1533 meV/atom

Cell and atoms, written as POSCAR:
```
Na4Nd3BiS8
1.0
4.119 2.378 6.718
-4.119 2.378 6.718
0.000 -4.756 6.718
Na Nd Bi S
4 3 1 8
Direct
0.000 0.000 0.000
0.000 0.500 0.500
0.500 0.000 0.500
0.500 0.500 0.000
0.000 0.000 0.500
0.000 0.500 0.000
0.500 0.000 0.000
0.500 0.500 0.500
0.244 0.244 0.244
0.246 0.744 0.744
0.256 0.256 0.754
0.256 0.754 0.256
0.744 0.246 0.744
0.744 0.744 0.246
0.754 0.256 0.256
0.756 0.756 0.756
```


Entry 11:
A plane-wave DFT calculation with PBE was carried out for a relaxed structure of Na3NdBi2S6.

Values from the calculation:
Space-group type ... No. 12
DOS at the Fermi energy ... 0.00 states/eV per cell
Crystal system ... monoclinic
ΔE_f (raw) ... -1100 meV/atom

Cell and atoms, written as POSCAR:
```
Na3NdBi2S6
1.0
3.546 -6.143 0.000
3.546 6.143 0.000
-2.360 0.000 6.762
Na Nd Bi S
3 1 2 6
Direct
0.000 0.000 0.000
0.329 0.671 0.000
0.671 0.329 0.000
0.500 0.500 0.500
0.166 0.834 0.500
0.834 0.166 0.500
0.087 0.422 0.265
0.244 0.244 0.736
0.422 0.087 0.265
0.578 0.913 0.735
0.756 0.756 0.264
0.913 0.578 0.735
```


Entry 12:
A plane-wave DFT calculation with PBE was carried out for a relaxed structure of Na2NdBiSe4.

Values from the calculation:
Space-group type ... No. 10
DOS at the Fermi energy ... 0.00 states/eV per cell
Crystal system ... monoclinic
ΔE_f (raw) ... -1210 meV/atom

Cell and atoms, written as POSCAR:
```
Na2NdBiSe4
1.0
7.384 0.000 0.000
0.000 4.262 0.000
-2.470 0.000 7.063
Na Nd Bi Se
2 1 1 4
Direct
0.000 0.000 0.000
0.500 0.500 0.000
0.000 0.500 0.500
0.500 0.000 0.500
0.247 0.000 0.736
0.255 0.500 0.262
0.745 0.500 0.738
0.753 0.000 0.264
```


Entry 13:
A plane-wave DFT calculation with PBE was carried out for a relaxed structure of Na3Nd2BiSe6.

Values from the calculation:
Space-group type ... No. 12
DOS at the Fermi energy ... 0.00 states/eV per cell
Crystal system ... monoclinic
ΔE_f (raw) ... -1368 meV/atom

Cell and atoms, written as POSCAR:
```
Na3Nd2BiSe6
1.0
3.700 -6.408 0.000
3.700 6.408 0.000
-2.463 0.000 7.039
Na Nd Bi Se
3 2 1 6
Direct
0.000 0.000 0.000
0.337 0.663 0.000
0.663 0.337 0.000
0.167 0.833 0.500
0.833 0.167 0.500
0.500 0.500 0.500
0.088 0.421 0.263
0.246 0.246 0.736
0.421 0.088 0.263
0.579 0.912 0.737
0.754 0.754 0.264
0.912 0.579 0.737
```


Entry 14:
A plane-wave DFT calculation with PBE was carried out for a relaxed structure of Na2NdBiTe4.

Values from the calculation:
Space-group type ... No. 10
Crystal system ... monoclinic
ΔE_f (raw) ... -928 meV/atom

Cell and atoms, written as POSCAR:
```
Na2NdBiTe4
1.0
7.876 0.000 0.000
0.000 4.526 0.000
-2.606 0.000 7.598
Na Nd Bi Te
2 1 1 4
Direct
0.000 0.000 0.000
0.500 0.500 0.000
0.000 0.500 0.500
0.500 0.000 0.500
0.248 0.000 0.738
0.257 0.500 0.262
0.743 0.500 0.738
0.752 0.000 0.262
```


Entry 15:
A plane-wave DFT calculation with PBE was carried out for a relaxed structure of Na3NdBi2Te6.

Values from the calculation:
Space-group type ... No. 12
DOS at the Fermi energy ... 0.00 states/eV per cell
Crystal system ... monoclinic
ΔE_f (raw) ... -800 meV/atom

Cell and atoms, written as POSCAR:
```
Na3NdBi2Te6
1.0
3.924 -6.800 0.000
3.924 6.800 0.000
-2.616 0.000 7.602
Na Nd Bi Te
3 1 2 6
Direct
0.000 0.000 0.000
0.330 0.670 0.000
0.670 0.330 0.000
0.500 0.500 0.500
0.166 0.834 0.500
0.834 0.166 0.500
0.084 0.421 0.264
0.243 0.243 0.739
0.421 0.084 0.264
0.579 0.916 0.736
0.757 0.757 0.261
0.916 0.579 0.736
```


Entry 16:
A plane-wave DFT calculation with PBE was carried out for a relaxed structure of NaNd2ThBi4.

Values from the calculation:
Space-group type ... No. 42
DOS at the Fermi energy ... 5.09 states/eV per cell
Formation energy from the elements ... -0.632 eV per atom
Crystal system ... orthorhombic

Cell and atoms, written as POSCAR:
```
NaNd2ThBi4
1.0
0.000 6.607 4.596
4.596 0.000 4.596
4.596 6.607 0.000
Na Nd Th Bi
1 2 1 4
Direct
0.000 0.000 0.000
0.249 0.249 0.251
0.749 0.749 0.751
0.499 0.499 0.501
0.253 0.744 0.256
0.500 0.999 0.500
0.744 0.253 0.747
0.999 0.500 0.001
```


Entry 17:
A plane-wave DFT calculation with PBE was carried out for a relaxed structure of Na2NdZnBi2.

Values from the calculation:
Space-group type ... No. 26
DOS at the Fermi energy ... 4.74 states/eV per cell
Formation energy from the elements ... -0.428 eV per atom
Crystal system ... orthorhombic

Cell and atoms, written as POSCAR:
```
Na2NdZnBi2
1.0
4.859 0.000 0.000
0.000 9.367 0.000
0.000 0.000 7.636
Na Nd Zn Bi
4 2 2 4
Direct
0.000 0.067 0.000
0.000 0.933 0.500
0.500 0.146 0.313
0.500 0.854 0.813
0.500 0.481 0.991
0.500 0.519 0.491
0.000 0.334 0.652
0.000 0.666 0.152
0.000 0.357 0.250
0.000 0.643 0.750
0.500 0.190 0.734
0.500 0.810 0.234
```


Entry 18:
A plane-wave DFT calculation with PBE was carried out for a relaxed structure of Na2Ni2Bi.

Values from the calculation:
Space-group type ... No. 127
DOS at the Fermi energy ... 6.96 states/eV per cell
Formation energy from the elements ... 0.164 eV per atom
Crystal system ... tetragonal

Cell and atoms, written as POSCAR:
```
Na2Ni2Bi
1.0
6.579 0.000 0.000
0.000 6.579 0.000
0.000 0.000 4.878
Na Ni Bi
4 4 2
Direct
0.172 0.328 0.000
0.328 0.828 0.000
0.672 0.172 0.000
0.828 0.672 0.000
0.125 0.625 0.500
0.375 0.125 0.500
0.625 0.875 0.500
0.875 0.375 0.500
0.000 0.000 0.500
0.500 0.500 0.500
```


Entry 19:
A plane-wave DFT calculation with PBE was carried out for a relaxed structure of Na3NiBi.

Values from the calculation:
Space-group type ... No. 221
DOS at the Fermi energy ... 6.06 states/eV per cell
Polymorph energy (0 for the lowest one) ... 0 meV/atom
Formation energy from the elements ... 0.436 eV per atom
Crystal system ... cubic

Cell and atoms, written as POSCAR:
```
Na3NiBi
1.0
5.266 0.000 0.000
0.000 5.266 0.000
0.000 0.000 5.266
Na Ni Bi
3 1 1
Direct
0.000 0.000 0.500
0.000 0.500 0.000
0.500 0.000 0.000
0.000 0.000 0.000
0.500 0.500 0.500
```


Entry 20:
A plane-wave DFT calculation with PBE was carried out for a relaxed structure of Na2NiBi.

Values from the calculation:
Space-group type ... No. 122
DOS at the Fermi energy ... 4.90 states/eV per cell
Formation energy from the elements ... 0.100 eV per atom
Crystal system ... tetragonal

Cell and atoms, written as POSCAR:
```
Na2NiBi
1.0
-5.574 5.574 2.407
5.574 -5.574 2.407
5.574 5.574 -2.407
Na Ni Bi
4 2 2
Direct
0.375 0.093 0.218
0.843 0.625 0.718
0.875 0.157 0.782
0.907 0.125 0.282
0.000 0.000 0.000
0.750 0.250 0.500
0.250 0.750 0.500
0.500 0.500 0.000
```


| no. | total magnetization (Bohr magnetons per cell) |
| --- | --- |
| 1 | 0.000 |
| 2 | 0.000 |
| 3 | 0.000 |
| 4 | 0.000 |
| 5 | 0.000 |
| 6 | 0.000 |
| 7 | 0.038 |
| 8 | 0.000 |
| 9 | 0.000 |
| 10 | 0.000 |
| 11 | 0.000 |
| 12 | 0.000 |
| 13 | 0.000 |
| 14 | 0.000 |
| 15 | 0.000 |
| 16 | 0.000 |
| 17 | 0.000 |
| 18 | 0.000 |
| 19 | 1.193 |
| 20 | 0.000 |